1.
Entry from the Alexandria database: a relaxed ZnCuTe2 crystal (PBE).

```
ZnCuTe2
1.0
7.2067 0.0000 0.0000
0.0000 4.2053 0.0000
-2.3210 0.0000 6.9772
Zn Cu Te
2 2 4
direct
0.1380 0.2500 0.1282
0.8620 0.7500 0.8718
0.3878 0.2500 0.8993
0.6122 0.7500 0.1007
0.0017 0.2500 0.7330
0.4723 0.7500 0.7281
0.5277 0.2500 0.2719
0.9983 0.7500 0.2670
```

Output
* D(E_F): 0.572 states/eV/atom
* total magnetization: 0.00 μB per cell
* energy: -0.1138 Ha/atom
* density: 6.0 g/cm3

2.
Entry from the Alexandria database: a relaxed Na6SnPd2 crystal (PBE).

```
Na6SnPd2
1.0
2.6117 1.5079 9.8974
-2.6117 1.5079 9.8974
0.0000 -3.0157 9.8974
Na Sn Pd
6 1 2
direct
0.0800 0.0800 0.0800
0.2038 0.2038 0.2038
0.3104 0.3104 0.3104
0.6896 0.6896 0.6896
0.7962 0.7962 0.7962
0.9200 0.9200 0.9200
0.5000 0.5000 0.5000
0.4124 0.4124 0.4124
0.5876 0.5876 0.5876
```

Output
* D(E_F): 0.568 states/eV/atom
* total magnetization: 0.00 μB per cell
* energy of formation: -11.8 kJ per mole of atoms
* density: 3.3 g/cm3

3.
Entry from the Alexandria database: a relaxed Ac2Pd2Pt15 crystal (PBE).

```
Ac2Pd2Pt15
1.0
4.7073 2.7178 4.4739
-4.7073 2.7178 4.4739
0.0000 -5.4355 4.4739
Ac Pd Pt
2 2 15
direct
0.1623 0.1623 0.1623
0.8377 0.8377 0.8377
0.3978 0.3978 0.3978
0.6022 0.6022 0.6022
0.0000 0.5000 0.5000
0.1545 0.1545 0.6592
0.1545 0.6592 0.1545
0.1960 0.5000 0.8040
0.1960 0.8040 0.5000
0.3408 0.8455 0.8455
0.5000 0.0000 0.5000
0.5000 0.1960 0.8040
0.5000 0.5000 0.0000
0.5000 0.8040 0.1960
0.6592 0.1545 0.1545
0.8040 0.1960 0.5000
0.8040 0.5000 0.1960
0.8455 0.3408 0.8455
0.8455 0.8455 0.3408
```

Output
* D(E_F): 0.919 states/eV/atom
* total magnetization: 0.00 μB per cell
* energy of formation: -46.2 kJ per mole of atoms
* density: 17.4 g/cm3